1.
## CeSiNi4 (SCAN)

Data for CeSiNi4 at its PBEsol-relaxed geometry.

The density of states at the Fermi level is 4.6 states/eV/cell. The total energy is -122.67 eV/cell. The value obtained for the density is 8.4 g/cm3. The calculation puts the size of the total moment at 0.00 Bohr magnetons per cell. For the formation energy from raw total energies, the calculation gives -0.567 eV/atom.

Cell and atoms, written as CIF:
```
data_CeSiNi4
_chemical_formula_sum 'Ce1 Si1 Ni4'
_cell_length_a 3.976
_cell_length_b 4.724
_cell_length_c 4.724
_cell_angle_alpha 116.27
_cell_angle_beta 90.00
_cell_angle_gamma 90.00
_space_group_name_H-M_alt 'P 1'
_space_group_IT_number 1
_space_group_name_Hall 'P 1'
loop_
_atom_site_label
_atom_site_fract_x
_atom_site_fract_y
_atom_site_fract_z
Si1 0.500 0.500 0.500
Ni1 0.000 0.662 0.338
Ce1 0.000 0.000 0.000
Ni2 0.500 0.500 0.000
Ni3 0.000 0.338 0.662
Ni4 0.500 0.000 0.500
```



2.
## Fe2AsAu (SCAN)

Data for Fe2AsAu at its PBEsol-relaxed geometry.

The density of states at the Fermi level is 2.8 states/eV/cell. The total energy is -124.96 eV/cell. The formation energy is 0.161 eV/atom. The value obtained for the density is 11.4 g/cm3. The calculation puts the size of the total moment at 5.06 Bohr magnetons per cell.

Cell and atoms, written as CIF:
```
data_Fe2AsAu
_chemical_formula_sum 'Fe2 As1 Au1'
_cell_length_a 3.982
_cell_length_b 4.682
_cell_length_c 4.673
_cell_angle_alpha 129.78
_cell_angle_beta 115.22
_cell_angle_gamma 90.00
_space_group_name_H-M_alt 'P 1'
_space_group_IT_number 1
_space_group_name_Hall 'P 1'
loop_
_atom_site_label
_atom_site_fract_x
_atom_site_fract_y
_atom_site_fract_z
As1 0.000 0.500 0.000
Fe1 0.718 0.783 0.435
Fe2 0.282 0.217 0.565
Au1 0.500 0.000 0.000
```



3.
## RbScAsSe2 (SCAN)

Data for RbScAsSe2 at its PBEsol-relaxed geometry.

The density of states at the Fermi level is 4.0 states/eV/cell. The total energy is -99.57 eV/cell. The value obtained for the density is 4.3 g/cm3. The calculation puts the size of the total moment at 0.82 Bohr magnetons per cell. For the formation energy from raw total energies, the calculation gives -0.849 eV/atom.

Cell and atoms, written as CIF:
```
data_RbScAsSe2
_chemical_formula_sum 'Rb1 Sc1 As1 Se2'
_cell_length_a 5.134
_cell_length_b 5.206
_cell_length_c 5.206
_cell_angle_alpha 90.00
_cell_angle_beta 90.00
_cell_angle_gamma 90.00
_space_group_name_H-M_alt 'P 1'
_space_group_IT_number 1
_space_group_name_Hall 'P 1'
loop_
_atom_site_label
_atom_site_fract_x
_atom_site_fract_y
_atom_site_fract_z
As1 0.500 0.000 0.000
Se1 0.000 0.000 0.500
Se2 0.000 0.500 0.000
Sc1 0.000 0.000 0.000
Rb1 0.500 0.500 0.500
```



4.
## Rb2MnHgSe (SCAN)

Data for Rb2MnHgSe at its PBEsol-relaxed geometry.

The density of states at the Fermi level is 3.1 states/eV/cell. The total energy is -149.89 eV/cell. The value obtained for the density is 4.1 g/cm3. The calculation puts the size of the total moment at 3.68 Bohr magnetons per cell. For the formation energy from raw total energies, the calculation gives -0.382 eV/atom.

Cell and atoms, written as CIF:
```
data_Rb2MnHgSe
_chemical_formula_sum 'Rb2 Mn1 Hg1 Se1'
_cell_length_a 4.669
_cell_length_b 6.617
_cell_length_c 6.617
_cell_angle_alpha 90.00
_cell_angle_beta 90.00
_cell_angle_gamma 90.00
_space_group_name_H-M_alt 'P 1'
_space_group_IT_number 1
_space_group_name_Hall 'P 1'
loop_
_atom_site_label
_atom_site_fract_x
_atom_site_fract_y
_atom_site_fract_z
Mn1 0.500 0.000 0.000
Hg1 0.500 0.500 0.500
Rb1 0.000 0.500 0.000
Rb2 0.000 0.000 0.500
Se1 0.000 0.000 0.000
```



5.
## TiGaF2 (SCAN)

Data for TiGaF2 at its PBEsol-relaxed geometry.

The density of states at the Fermi level is 1.5 states/eV/cell. The total energy is -46.68 eV/cell. The value obtained for the density is 4.3 g/cm3. The calculation puts the size of the total moment at 0.37 Bohr magnetons per cell. For the formation energy from raw total energies, the calculation gives -1.807 eV/atom.

Cell and atoms, written as CIF:
```
data_TiGaF2
_chemical_formula_sum 'Ti1 Ga1 F2'
_cell_length_a 2.926
_cell_length_b 2.926
_cell_length_c 8.285
_cell_angle_alpha 79.83
_cell_angle_beta 79.83
_cell_angle_gamma 60.00
_space_group_name_H-M_alt 'P 1'
_space_group_IT_number 1
_space_group_name_Hall 'P 1'
loop_
_atom_site_label
_atom_site_fract_x
_atom_site_fract_y
_atom_site_fract_z
F1 0.924 0.924 0.227
Ti1 0.000 0.000 0.000
F2 0.076 0.076 0.773
Ga1 0.500 0.500 0.500
```



6.
## ScHg2 (SCAN)

Data for ScHg2 at its PBEsol-relaxed geometry.

The density of states at the Fermi level is 3.0 states/eV/cell. The total energy is -303.82 eV/cell. The formation energy is -0.447 eV/atom. The value obtained for the density is 12.0 g/cm3. The calculation puts the size of the total moment at 0.00 Bohr magnetons per cell.

Cell and atoms, written as CIF:
```
data_ScHg2
_chemical_formula_sum 'Sc2 Hg4'
_cell_length_a 4.882
_cell_length_b 4.882
_cell_length_c 5.995
_cell_angle_alpha 90.00
_cell_angle_beta 90.00
_cell_angle_gamma 120.00
_space_group_name_H-M_alt 'P 1'
_space_group_IT_number 1
_space_group_name_Hall 'P 1'
loop_
_atom_site_label
_atom_site_fract_x
_atom_site_fract_y
_atom_site_fract_z
Sc1 0.667 0.333 0.250
Hg1 0.667 0.333 0.750
Hg2 0.000 0.000 0.500
Sc2 0.333 0.667 0.750
Hg3 0.333 0.667 0.250
Hg4 0.000 0.000 0.000
```



7.
## LiZnRh2 (SCAN)

Data for LiZnRh2 at its PBEsol-relaxed geometry.

The density of states at the Fermi level is 3.0 states/eV/cell. The total energy is -84.38 eV/cell. The formation energy is -0.233 eV/atom. The value obtained for the density is 8.8 g/cm3. The calculation puts the size of the total moment at 0.00 Bohr magnetons per cell.

Cell and atoms, written as CIF:
```
data_LiZnRh2
_chemical_formula_sum 'Li1 Zn1 Rh2'
_cell_length_a 2.730
_cell_length_b 4.409
_cell_length_c 4.668
_cell_angle_alpha 101.38
_cell_angle_beta 107.01
_cell_angle_gamma 89.99
_space_group_name_H-M_alt 'P 1'
_space_group_IT_number 1
_space_group_name_Hall 'P 1'
loop_
_atom_site_label
_atom_site_fract_x
_atom_site_fract_y
_atom_site_fract_z
Rh1 0.993 0.972 0.986
Rh2 0.249 0.778 0.498
Zn1 0.507 0.478 0.014
Li1 0.751 0.273 0.501
```



8.
## ZnCd3 (SCAN)

Data for ZnCd3 at its PBEsol-relaxed geometry.

The density of states at the Fermi level is 1.0 states/eV/cell. The total energy is -104.49 eV/cell. The formation energy is 0.066 eV/atom. The value obtained for the density is 8.6 g/cm3. The calculation puts the size of the total moment at 0.00 Bohr magnetons per cell.

Cell and atoms, written as CIF:
```
data_ZnCd3
_chemical_formula_sum 'Zn1 Cd3'
_cell_length_a 2.871
_cell_length_b 5.016
_cell_length_c 5.394
_cell_angle_alpha 90.00
_cell_angle_beta 90.00
_cell_angle_gamma 90.00
_space_group_name_H-M_alt 'P 1'
_space_group_IT_number 1
_space_group_name_Hall 'P 1'
loop_
_atom_site_label
_atom_site_fract_x
_atom_site_fract_y
_atom_site_fract_z
Zn1 0.000 0.666 0.500
Cd1 0.500 0.166 0.500
Cd2 0.500 0.503 0.000
Cd3 0.000 0.998 0.000
```



Question: Among the records above, which one has the lowest total energy?
Answer: ScHg2



Question: Among the records above, which one has the lowest total energy?
Answer: ScHg2



Question: Among the records above, which one has the highest size of the total moment?
Answer: Fe2AsAu